The following is a PBE calculation of an optimized crystal structure of SiTe2Se, from the Alexandria database.

Cell lengths 4.191, 4.213, 5.912 Å; angles 90.00, 90.36, 90.00 degrees
Fractional coordinates of all 4 atoms:
1 Si 0.000 0.000 0.000
2 Te 0.000 0.000 0.500
3 Te 0.500 0.500 0.000
4 Se 0.500 0.500 0.500

Results
ΔE_f (raw): 0.17 eV/atom
Electronic total energy: -3.6284 eV/atom